A relaxed Mg6MnNbO8 crystal. Source: the Alexandria database, functional PBE+U.

abc: 4.3278 4.3278 8.8364
angles: 90.00 90.00 90.00
Space group P4/mmm (No. 123)
Unique sites:
Mg 0.0000 0.0000 0.0000 [1 per cell]
Mg 0.0000 0.0000 0.5000 [1 per cell]
Mg 0.0000 0.5000 0.2462 [4 per cell]
Mn 0.5000 0.5000 0.0000 [1 per cell]
Nb 0.5000 0.5000 0.5000 [1 per cell]
O 0.0000 0.0000 0.2511 [2 per cell]
O 0.0000 0.5000 0.0000 [2 per cell]
O 0.0000 0.5000 0.5000 [2 per cell]
O 0.5000 0.5000 0.2439 [2 per cell]

Properties
Distance to the lowest polymorph of the same formula ... 24 meV per atom
Magnetization ... 5.36 μB per cell